(1)
Here is crystalline CsTeSeN2 at its relaxed geometry from Alexandria via LeMat-Bulk. Energies are from PBE.

Lattice parameters (Å, degrees): 4.657 4.657 5.526 90.00 90.00 90.00
Atoms (fractional coordinates):
Cs1 0.000 0.000 0.000
Te1 0.500 0.500 0.500
Se1 0.500 0.500 0.000
N1 0.000 0.500 0.500
N2 0.500 0.000 0.500

Summary:
Energy relative to the lowest polymorph listed for this composition ... 0 meV/atom
Raw total energy ... -18.71 eV/cell
SG ... P4/mmm (123)
Uncorrected formation energy ... 1.08 eV/atom

=====

(2)
Here is crystalline NaP3F at its relaxed geometry from Alexandria via LeMat-Bulk. Energies are from PBE.

Lattice parameters (Å, degrees): 4.455 4.455 4.455 90.00 90.00 90.00
Atoms (fractional coordinates):
Na1 0.000 0.000 0.000
P1 0.000 0.500 0.500
P2 0.500 0.000 0.500
P3 0.500 0.500 0.000
F1 0.500 0.500 0.500

Summary:
Energy relative to the lowest polymorph listed for this composition ... 0 meV/atom
Raw total energy ... -16.99 eV/cell
SG ... Pm-3m (221)
Uncorrected formation energy ... 0.49 eV/atom

=====

(3)
Here is crystalline SrNi2BiPb at its relaxed geometry from Alexandria via LeMat-Bulk. Energies are from PBE.

Lattice parameters (Å, degrees): 4.930 4.930 6.137 90.00 90.00 90.00
Atoms (fractional coordinates):
Sr1 0.000 0.000 0.000
Ni1 0.000 0.500 0.500
Ni2 0.500 0.000 0.500
Bi1 0.000 0.000 0.500
Pb1 0.500 0.500 0.000

Summary:
Raw total energy ... -18.08 eV/cell
SG ... P4/mmm (123)